1.
Material: LiNpTc2N4
Method: DFT, PBE-GGA
State: optimized geometry

Calculated values
Energy relative to the elements, uncorrected (eV per atom): -0.457
D(E_F) (states/eV per atom): 0.653
Total DFT energy (no corrections) (eV per atom): -9.068

Lattice parameters (Å, degrees): 6.3366 8.8519 5.9320 90.00 90.00 90.00
With the nearest neighbours (Å) after each atom.
Space group Fmm2 (No. 42)
Inequivalent atoms, fractional coordinates:
Li1 0.0000 0.0000 0.0000  6 N 2.16-2.23
Np1 0.0000 0.0000 0.4999  6 N 2.17-2.20
Tc1 0.2500 0.2500 0.2465  6 N 2.10-2.24
N1 0.0000 0.2488 0.5138  4 Tc 2.10-2.24, 1 Np 2.20, 1 Li 2.23
N2 0.2489 0.0000 0.7506  2 Li 2.16-2.18, 2 Np 2.17, 2 Tc 2.21

***

2.
Material: Li4Np3TcN8
Method: DFT, PBE-GGA
State: optimized geometry

Calculated values
Energy relative to the elements, uncorrected (eV per atom): -0.721
D(E_F) (states/eV per atom): 0.776
Total DFT energy (no corrections) (eV per atom): -8.436

Lattice parameters (Å, degrees): 6.5868 6.5868 15.3178 90.00 90.00 120.00
With the nearest neighbours (Å) after each atom.
Space group R-3m (No. 166, hexagonal axes)
Inequivalent atoms, fractional coordinates:
Li1 0.0000 0.0000 0.0000  6 N 2.38
Li2 0.0000 0.5000 0.0000  6 N 2.39-2.40
Np1 0.0000 0.5000 0.5000  6 N 2.19-2.20
Tc1 0.0000 0.0000 0.5000  6 N 2.21
N1 0.0000 0.0000 0.2385  3 Np 2.20, 3 Li 2.39
N2 0.0031 0.5015 0.7620  2 Np 2.19, 1 Tc 2.21, 3 Li 2.38-2.40

***

3.
Material: LiThNp2N4
Method: DFT, PBE-GGA
State: optimized geometry

Calculated values
Energy relative to the elements, uncorrected (eV per atom): -1.008
D(E_F) (states/eV per atom): 1.287
Total DFT energy (no corrections) (eV per atom): -9.572

Lattice parameters (Å, degrees): 4.9191 4.9191 9.6870 90.00 90.00 90.00
With the nearest neighbours (Å) after each atom.
Space group I4/mmm (No. 139)
Inequivalent atoms, fractional coordinates:
Li1 0.0000 0.0000 0.0000  6 N 2.40-2.46
Th1 0.0000 0.0000 0.5000  6 N 2.44-2.46
Np1 0.0000 0.5000 0.2500  6 N 2.42-2.46
N1 0.0000 0.0000 0.2483  1 Li 2.40, 1 Th 2.44, 4 Np 2.46
N2 0.0000 0.5000 0.0000  2 Np 2.42, 2 Th 2.46, 2 Li 2.46

***

4.
Material: LiTh2NpN5
Method: DFT, PBE-GGA
State: optimized geometry

Calculated values
Energy relative to the elements, uncorrected (eV per atom): -1.180
D(E_F) (states/eV per atom): 0.443
Total DFT energy (no corrections) (eV per atom): -9.104

Lattice parameters (Å, degrees): 3.5177 13.6069 10.3954 90.00 90.00 90.00
With the nearest neighbours (Å) after each atom.
Space group Cmc2_1 (No. 36)
Inequivalent atoms, fractional coordinates:
Li1 0.0000 0.0281 0.0000  3 N 2.01-2.05
Th1 0.0000 0.3721 0.8405  7 N 2.46-2.71
Th2 0.0000 0.3943 0.2234  6 N 2.43-2.69
Np1 0.0000 0.2990 0.5456  2 N 1.96-2.07
N1 0.0000 0.0043 0.3074  1 Li 2.05
N2 0.0000 0.1470 0.5377  1 Np 2.07
N3 0.0000 0.1971 0.9101  2 Np 2.25, 1 Li 2.48, 1 Th 2.49
N4 0.0000 0.2176 0.1868  2 Np 2.30, 1 Th 2.43
N5 0.0000 0.4399 0.5832  1 Np 1.96, 2 Li 2.01

***

5.
Material: LiTh2NpN4
Method: DFT, PBE-GGA
State: optimized geometry

Calculated values
Energy relative to the elements, uncorrected (eV per atom): -1.126
D(E_F) (states/eV per atom): 0.817
Total DFT energy (no corrections) (eV per atom): -9.000

Lattice parameters (Å, degrees): 5.9426 3.6761 6.0969 90.00 107.94 90.00
With the nearest neighbours (Å) after each atom.
Space group P2/m (No. 10)
Inequivalent atoms, fractional coordinates:
Li1 0.0000 0.0000 0.0000  6 N 2.42-2.66
Th1 0.5000 0.0000 0.5000  6 N 2.45
Th2 0.5000 0.5000 0.0000  6 N 2.56
Np1 0.0000 0.5000 0.5000  6 N 2.32-2.54
N1 0.2470 0.0000 0.7497  1 Li 2.42, 3 Th 2.45-2.56, 2 Np 2.54
N2 0.2592 0.5000 0.2831  1 Np 2.32, 3 Th 2.45-2.56

***

6.
Material: Li4Np3TiN8
Method: DFT, PBE-GGA
State: optimized geometry

Calculated values
Energy relative to the elements, uncorrected (eV per atom): -0.941
D(E_F) (states/eV per atom): 0.785
Total DFT energy (no corrections) (eV per atom): -8.502

Lattice parameters (Å, degrees): 6.6429 6.6429 15.1823 90.00 90.00 120.00
With the nearest neighbours (Å) after each atom.
Space group R-3m (No. 166, hexagonal axes)
Inequivalent atoms, fractional coordinates:
Li1 0.0000 0.0000 0.0000  6 N 2.44
Li2 0.0000 0.5000 0.0000  6 N 2.40-2.41
Np1 0.0000 0.5000 0.5000  6 N 2.20-2.21
Ti1 0.0000 0.0000 0.5000  6 N 2.16
N1 0.0000 0.0000 0.2387  3 Np 2.21, 3 Li 2.40
N2 0.0054 0.5027 0.2361  1 Ti 2.16, 2 Np 2.20, 2 Li 2.41

***

7.
Material: LiNpTiN3
Method: DFT, PBE-GGA
State: optimized geometry

Calculated values
Energy relative to the elements, uncorrected (eV per atom): -1.010
D(E_F) (states/eV per atom): 0.751
Total DFT energy (no corrections) (eV per atom): -8.965

Lattice parameters (Å, degrees): 6.5358 3.0359 7.7905 90.00 98.24 90.00
With the nearest neighbours (Å) after each atom.
Space group P2_1/m (No. 11)
Inequivalent atoms, fractional coordinates:
Li1 0.1467 0.2500 0.0785  3 N 2.04-2.10
Np1 0.1603 0.2500 0.7092  2 N 2.16
Ti1 0.3492 0.7500 0.3890  5 N 1.93-2.13
N1 0.1374 0.2500 0.3726  2 Ti 2.05
N2 0.1719 0.7500 0.9072  3 Li 2.04-2.10, 2 Np 2.16
N3 0.4296 0.7500 0.6368  3 Ti 1.93-2.13

***

8.
Material: LiNp2TiN4
Method: DFT, PBE-GGA
State: optimized geometry

Calculated values
Energy relative to the elements, uncorrected (eV per atom): -1.068
D(E_F) (states/eV per atom): 1.165
Total DFT energy (no corrections) (eV per atom): -9.692

Lattice parameters (Å, degrees): 5.4838 3.3249 5.7651 90.00 110.21 90.00
With the nearest neighbours (Å) after each atom.
Space group P2/m (No. 10)
Inequivalent atoms, fractional coordinates:
Li1 0.0000 0.0000 0.0000  6 N 2.34-2.39
Np1 0.5000 0.0000 0.5000  6 N 2.24-2.28
Np2 0.5000 0.5000 0.0000  6 N 2.38-2.43
Ti1 0.0000 0.5000 0.5000  6 N 2.19-2.25
N1 0.2379 0.0000 0.7320  2 Ti 2.25, 3 Np 2.28-2.38, 1 Li 2.34
N2 0.2534 0.5000 0.2782  1 Ti 2.19, 3 Np 2.24-2.43, 2 Li 2.39

***

9.
Material: LiTm2NpN4
Method: DFT, PBE-GGA
State: optimized geometry

Calculated values
Energy relative to the elements, uncorrected (eV per atom): -1.387
D(E_F) (states/eV per atom): 0.438
Total DFT energy (no corrections) (eV per atom): -8.525

Lattice parameters (Å, degrees): 4.6496 4.6496 9.8843 90.00 90.00 90.00
With the nearest neighbours (Å) after each atom.
Space group I4/mmm (No. 139)
Inequivalent atoms, fractional coordinates:
Li1 0.0000 0.0000 0.0000  4 N 2.32
Tm1 0.0000 0.5000 0.2500  6 N 2.35-2.47
Np1 0.0000 0.0000 0.5000  6 N 2.14-2.32
N1 0.0000 0.0000 0.2832  1 Np 2.14, 4 Tm 2.35
N2 0.0000 0.5000 0.0000  2 Li 2.32, 2 Np 2.32, 2 Tm 2.47

***

10.
Material: Li3Np2UN6
Method: DFT, PBE-GGA
State: optimized geometry

Calculated values
Energy relative to the elements, uncorrected (eV per atom): -0.978
D(E_F) (states/eV per atom): 1.173
Total DFT energy (no corrections) (eV per atom): -8.717

Lattice parameters (Å, degrees): 14.1856 3.4678 6.3982 90.00 96.35 90.00
With the nearest neighbours (Å) after each atom.
Space group C2/m (No. 12)
Inequivalent atoms, fractional coordinates:
Li1 0.0000 0.0000 0.0000  6 N 2.48-2.50
Li2 0.1634 0.5000 0.3278  6 N 2.41-2.58
Np1 0.1676 0.5000 0.8333  6 N 2.25-2.30
U1 0.0000 0.0000 0.5000  6 N 2.21-2.24
N1 0.0076 0.5000 0.7219  2 U 2.24, 1 Np 2.30, 3 Li 2.41-2.50
N2 0.1540 0.0000 0.6032  1 U 2.21, 2 Np 2.27
N3 0.1756 0.0000 0.0583  3 Np 2.25-2.26, 3 Li 2.46-2.48

***

11.
Material: Li3NpU2N6
Method: DFT, PBE-GGA
State: optimized geometry

Calculated values
Energy relative to the elements, uncorrected (eV per atom): -1.038
D(E_F) (states/eV per atom): 1.055
Total DFT energy (no corrections) (eV per atom): -8.639

Lattice parameters (Å, degrees): 14.2916 3.4740 6.3978 90.00 96.34 90.00
With the nearest neighbours (Å) after each atom.
Space group C2/m (No. 12)
Inequivalent atoms, fractional coordinates:
Li1 0.0000 0.0000 0.0000  6 N 2.46-2.53
Li2 0.1735 0.5000 0.3433  5 N 2.35-2.51
Np1 0.0000 0.0000 0.5000  6 N 2.28-2.34
U1 0.1654 0.5000 0.8345  6 N 2.21-2.26
N1 0.0127 0.5000 0.7315  1 U 2.21, 2 Np 2.28, 2 Li 2.46
N2 0.1611 0.0000 0.6139  2 U 2.23, 1 Np 2.34, 3 Li 2.35-2.47
N3 0.1782 0.0000 0.0612  3 U 2.26, 2 Li 2.51

***

12.
Material: LiNp3U3N8
Method: DFT, PBE-GGA
State: optimized geometry

Calculated values
Energy relative to the elements, uncorrected (eV per atom): -0.979
D(E_F) (states/eV per atom): 1.270
Total DFT energy (no corrections) (eV per atom): -10.393

Lattice parameters (Å, degrees): 6.7327 6.7327 16.2317 90.00 90.00 120.00
With the nearest neighbours (Å) after each atom.
Space group R-3m (No. 166, hexagonal axes)
Inequivalent atoms, fractional coordinates:
Li1 0.0000 0.0000 0.0000  6 N 2.30
Np1 0.0000 0.5000 0.5000  6 N 2.38-2.39
U1 0.0000 0.5000 0.0000  6 N 2.35
N1 0.0000 0.0000 0.2515  3 U 2.35, 3 Np 2.38
N2 0.0062 0.5031 0.7462  1 Li 2.30, 2 U 2.35, 2 Np 2.39

***

13.
Material: LiNp2UN5
Method: DFT, PBE-GGA
State: optimized geometry

Calculated values
Energy relative to the elements, uncorrected (eV per atom): -0.932
D(E_F) (states/eV per atom): 1.232
Total DFT energy (no corrections) (eV per atom): -9.900

Lattice parameters (Å, degrees): 3.4265 13.0569 10.2814 90.00 90.00 90.00
With the nearest neighbours (Å) after each atom.
Space group Cmc2_1 (No. 36)
Inequivalent atoms, fractional coordinates:
Li1 0.0000 0.0092 0.0000  4 N 2.01-2.03
Np1 0.0000 0.3758 0.8141  4 N 2.28-2.51
Np2 0.0000 0.3942 0.1993  6 N 2.28-2.52
U1 0.0000 0.3020 0.5239  6 N 2.10-2.28
N1 0.0000 0.0093 0.3042  1 Li 2.03
N2 0.0000 0.1399 0.5470  1 Li 2.01, 1 U 2.13
N3 0.0000 0.2042 0.8860  2 U 2.23, 1 Np 2.36
N4 0.0000 0.2139 0.1690  2 U 2.28, 1 Np 2.37
N5 0.0000 0.4535 0.5913  2 Li 2.01, 1 U 2.10

***

14.
Material: LiNpUN3
Method: DFT, PBE-GGA
State: optimized geometry

Calculated values
Energy relative to the elements, uncorrected (eV per atom): -0.957
D(E_F) (states/eV per atom): 1.431
Total DFT energy (no corrections) (eV per atom): -9.476

Lattice parameters (Å, degrees): 6.8262 3.3390 7.0676 90.00 101.21 90.00
With the nearest neighbours (Å) after each atom.
Space group P2_1/m (No. 11)
Inequivalent atoms, fractional coordinates:
Li1 0.0799 0.2500 0.0730  4 N 1.91-2.05
Np1 0.2937 0.7500 0.8268  5 N 2.29-2.56
U1 0.3055 0.7500 0.3394  6 N 2.14-2.39
N1 0.0046 0.2500 0.7943  3 Li 1.94-2.05, 1 U 2.14
N2 0.3643 0.2500 0.1154  1 Li 1.91
N3 0.3636 0.2500 0.5850  3 U 2.22-2.39

***

15.
Material: Li2Np3UN6
Method: DFT, PBE-GGA
State: optimized geometry

Calculated values
Energy relative to the elements, uncorrected (eV per atom): -0.981
D(E_F) (states/eV per atom): 1.879
Total DFT energy (no corrections) (eV per atom): -9.639

Lattice parameters (Å, degrees): 14.2599 3.4506 6.6864 90.00 99.86 90.00
With the nearest neighbours (Å) after each atom.
Space group C2/m (No. 12)
Inequivalent atoms, fractional coordinates:
Li1 0.1494 0.0000 0.3231  3 N 2.21-2.40
Np1 0.0000 0.5000 0.5000  2 N 2.18
Np2 0.1812 0.0000 0.8049  6 N 2.30-2.45
U1 0.0000 0.5000 0.0000  6 N 2.24-2.35
N1 0.0074 0.0000 0.7642  1 Li 2.21, 2 U 2.35, 3 Np 2.45-2.46
N2 0.1551 0.5000 0.5740  3 Np 2.18-2.30, 2 Li 2.40
N3 0.1594 0.5000 0.0412  1 U 2.24, 3 Np 2.33-2.40

***

16.
Material: Li4NpU3N8
Method: DFT, PBE-GGA
State: optimized geometry

Calculated values
Energy relative to the elements, uncorrected (eV per atom): -1.051
D(E_F) (states/eV per atom): 1.079
Total DFT energy (no corrections) (eV per atom): -8.618

Lattice parameters (Å, degrees): 6.9606 6.9606 15.0546 90.00 90.00 120.00
With the nearest neighbours (Å) after each atom.
Space group R-3m (No. 166, hexagonal axes)
Inequivalent atoms, fractional coordinates:
Li1 0.0000 0.0000 0.0000  6 N 2.46
Li2 0.0000 0.5000 0.0000  6 N 2.48-2.51
Np1 0.0000 0.0000 0.5000  6 N 2.30
U1 0.0000 0.5000 0.5000  6 N 2.24-2.27
N1 0.0000 0.0000 0.2364  3 U 2.27, 3 Li 2.48
N2 0.0079 0.5039 0.7648  2 U 2.24, 1 Np 2.30, 1 Li 2.46

***

17.
Material: Li4Np3VN8
Method: DFT, PBE-GGA
State: optimized geometry

Calculated values
Energy relative to the elements, uncorrected (eV per atom): -0.838
D(E_F) (states/eV per atom): 0.958
Total DFT energy (no corrections) (eV per atom): -8.475

Lattice parameters (Å, degrees): 6.5990 6.5990 15.1797 90.00 90.00 120.00
With the nearest neighbours (Å) after each atom.
Space group R-3m (No. 166, hexagonal axes)
Inequivalent atoms, fractional coordinates:
Li1 0.0000 0.0000 0.0000  6 N 2.45
Li2 0.0000 0.5000 0.0000  6 N 2.38-2.39
Np1 0.0000 0.5000 0.5000  6 N 2.20
V1 0.0000 0.0000 0.5000  6 N 2.14
N1 0.0000 0.0000 0.2393  3 Np 2.20, 3 Li 2.38
N2 0.0082 0.5041 0.2363  1 V 2.14, 2 Np 2.20, 2 Li 2.39

***

18.
Material: Li3Np2VN6
Method: DFT, PBE-GGA
State: optimized geometry

Calculated values
Energy relative to the elements, uncorrected (eV per atom): -0.853
D(E_F) (states/eV per atom): 0.750
Total DFT energy (no corrections) (eV per atom): -8.411

Lattice parameters (Å, degrees): 5.5319 9.9102 5.2965 90.00 107.32 90.00
With the nearest neighbours (Å) after each atom.
Space group C2/m (No. 12)
Inequivalent atoms, fractional coordinates:
Li1 0.0000 0.0000 0.0000  6 N 2.30-2.38
Li2 0.0000 0.3626 0.0000  4 N 2.21-2.26
Np1 0.0000 0.1660 0.5000  6 N 2.13-2.25
V1 0.0000 0.5000 0.5000  6 N 2.07-2.10
N1 0.2265 0.3433 0.7100  1 V 2.10, 2 Np 2.13-2.25, 1 Li 2.26
N2 0.2421 0.0000 0.7153  1 V 2.07, 3 Li 2.21-2.30, 2 Np 2.21

***

19.
Material: Li3Np3VN8
Method: DFT, PBE-GGA
State: optimized geometry

Calculated values
Energy relative to the elements, uncorrected (eV per atom): -0.781
D(E_F) (states/eV per atom): 0.907
Total DFT energy (no corrections) (eV per atom): -8.800

Lattice parameters (Å, degrees): 6.5881 6.5881 15.0456 90.00 90.00 120.00
With the nearest neighbours (Å) after each atom.
Space group R-3m (No. 166, hexagonal axes)
Inequivalent atoms, fractional coordinates:
Li1 0.0000 0.5000 0.0000  6 N 2.36-2.39
Np1 0.0000 0.5000 0.5000  6 N 2.20
V1 0.0000 0.0000 0.5000  6 N 2.06
N1 0.0000 0.0000 0.2407  3 Np 2.20, 3 Li 2.36
N2 0.0179 0.5090 0.2333  1 V 2.06, 2 Np 2.20

***

20.
Material: Li2NpVN4
Method: DFT, PBE-GGA
State: optimized geometry

Calculated values
Energy relative to the elements, uncorrected (eV per atom): -0.500
D(E_F) (states/eV per atom): 0.728
Total DFT energy (no corrections) (eV per atom): -7.899

Lattice parameters (Å, degrees): 3.2601 11.5225 9.4077 90.00 90.00 90.00
With the nearest neighbours (Å) after each atom.
Space group Cmcm (No. 63)
Inequivalent atoms, fractional coordinates:
Li1 0.0000 0.0982 0.0404  4 N 1.84-2.02
Np1 0.0000 0.4392 0.2500  8 N 2.45-2.54
V1 0.0000 0.2939 0.7500  2 N 1.73
N1 0.0000 0.1087 0.2500  2 Li 1.98, 2 V 1.98
N2 0.0000 0.1844 0.6239  1 V 1.73, 1 Li 1.84
N3 0.0000 0.5000 0.0000  4 Li 2.02